The following is a GGA-PBE calculation of a geometry-optimized Sm2MgAl4Pt3 structure, from the Alexandria database.

Total magnetic moment = 0.00 Bohr magnetons per cell
E = -5.3507 eV/atom
Symmetry = P-4m2, No. 115
DOS at the Fermi energy = 5.7 states/eV/f.u.
ΔH_f (0 K) = -938 meV per atom

Lattice parameters (Å, degrees): 4.2163 4.2163 11.0257 90.00 90.00 90.00
Positions (direct):
Sm (0.0000, 0.5000, 0.2369)
Sm (0.5000, 0.0000, 0.7631)
Mg (0.0000, 0.0000, 0.5000)
Al (0.0000, 0.0000, 0.0000)
Al (0.0000, 0.5000, 0.6461)
Al (0.5000, 0.0000, 0.3539)
Al (0.5000, 0.5000, 0.0000)
Pt (0.0000, 0.5000, 0.8706)
Pt (0.5000, 0.0000, 0.1294)
Pt (0.5000, 0.5000, 0.5000)